1.
Material: NaZnNi
Method: DFT, PBE-GGA
State: optimized geometry

Calculated values
The energy of formation from the pure elements is 0.07 eV/atom. As for the space group: P4/nmm, No. 129.

Cell lengths 4.076, 4.076, 6.836 Å; angles 90.00, 90.00, 90.00 degrees
Fractional positions:
1 Ni 0.000 0.000 0.500
2 Ni 0.500 0.500 0.500
3 Zn 0.500 0.000 0.684
4 Zn 0.000 0.500 0.316
5 Na 0.000 0.500 0.832
6 Na 0.500 0.000 0.168



2.
Material: Na3ZnNi
Method: DFT, PBE-GGA
State: optimized geometry

Calculated values
The energy of formation from the pure elements is 0.55 eV/atom. The polymorph energy (0 for the lowest one) is 0 meV per atom. As for the space group: Pm-3m, No. 221.

Cell lengths 5.313, 5.313, 5.313 Å; angles 90.00, 90.00, 90.00 degrees
Fractional positions:
1 Ni 0.000 0.000 0.000
2 Zn 0.500 0.500 0.500
3 Na 0.000 0.000 0.500
4 Na 0.000 0.500 0.000
5 Na 0.500 0.000 0.000



3.
Material: NaZn2Ni2
Method: DFT, PBE-GGA
State: optimized geometry

Calculated values
The energy of formation from the pure elements is -0.08 eV/atom. The polymorph energy (0 for the lowest one) is 0 meV per atom. As for the space group: P4/mbm, No. 127.

Cell lengths 7.365, 7.365, 2.627 Å; angles 90.00, 90.00, 90.00 degrees
Fractional positions:
1 Na 0.000 0.000 0.000
2 Na 0.500 0.500 0.000
3 Zn 0.329 0.171 0.500
4 Zn 0.171 0.671 0.500
5 Zn 0.829 0.329 0.500
6 Zn 0.671 0.829 0.500
7 Ni 0.122 0.378 0.000
8 Ni 0.622 0.122 0.000
9 Ni 0.378 0.878 0.000
10 Ni 0.878 0.622 0.000



4.
Material: NaZnNi3
Method: DFT, PBE-GGA
State: optimized geometry

Calculated values
The energy of formation from the pure elements is 1.48 eV/atom. The polymorph energy (0 for the lowest one) is 721 meV per atom. As for the space group: Pm-3m, No. 221.

Cell lengths 4.323, 4.323, 4.323 Å; angles 90.00, 90.00, 90.00 degrees
Fractional positions:
1 Na 0.000 0.000 0.000
2 Zn 0.500 0.500 0.500
3 Ni 0.000 0.000 0.500
4 Ni 0.500 0.000 0.000
5 Ni 0.000 0.500 0.000



5.
Material: NaZn4Ni
Method: DFT, PBE-GGA
State: optimized geometry

Calculated values
The energy of formation from the pure elements is 0.05 eV/atom. As for the space group: F-43m, No. 216.

Cell lengths 5.082, 5.082, 5.082 Å; angles 60.00, 60.00, 60.00 degrees
Fractional positions:
1 Zn 0.626 0.122 0.626
2 Zn 0.626 0.626 0.122
3 Zn 0.122 0.626 0.626
4 Zn 0.626 0.626 0.626
5 Ni 0.000 0.000 0.000
6 Na 0.250 0.250 0.250



6.
Material: NaZn3Ni
Method: DFT, PBE-GGA
State: optimized geometry

Calculated values
The energy of formation from the pure elements is 1.23 eV/atom. The polymorph energy (0 for the lowest one) is 1229 meV per atom. As for the space group: Pm-3m, No. 221.

Cell lengths 4.926, 4.926, 4.926 Å; angles 90.00, 90.00, 90.00 degrees
Fractional positions:
1 Zn 0.000 0.000 0.500
2 Zn 0.000 0.500 0.000
3 Zn 0.500 0.000 0.000
4 Na 0.000 0.000 0.000
5 Ni 0.500 0.500 0.500



Among the records above, which one has the lowest energy of formation from the pure elements? NaZn2Ni2



Which formula does entry 3 have? NaZn2Ni2